No. 1
Crystalline Ce4SnTe2Se at its relaxed geometry. Source: Alexandria via LeMat-Bulk, functional PBE.

a b c (Å): 4.4483 7.7383 7.6143
angles (deg): 70.33 90.00 90.00
Last column: magnetic moment on the atom in μB.
Fractional positions:
Ce 0.5000 0.2592 0.7550  0.84
Se 0.5000 0.5000 0.0000  -0.03
Sn 0.0000 0.5000 0.5000  -0.03
Ce 0.0000 0.7339 0.7634  0.95
Te 0.0000 0.0000 0.0000  -0.02
Ce 0.5000 0.7408 0.2450  0.84
Te 0.5000 0.0000 0.5000  -0.02
Ce 0.0000 0.2661 0.2366  0.95

Values from the calculation:
raw total energy = -0.438 Ry per atom

=====

No. 2
Crystalline CeTl2SnSe4 at its relaxed geometry. Source: Alexandria via LeMat-Bulk, functional PBE.

a b c (Å): 4.2975 7.9536 7.5307
angles (deg): 72.13 90.00 90.00
Last column: magnetic moment on the atom in μB.
Fractional positions:
Se 0.5000 0.7063 0.2733  -0.01
Se 0.0000 0.7095 0.7481  -0.01
Tl 0.0000 0.0000 0.0000  0.00
Tl 0.5000 0.0000 0.5000  0.00
Se 0.0000 0.2905 0.2519  -0.01
Sn 0.5000 0.5000 0.0000  0.00
Se 0.5000 0.2937 0.7267  -0.01
Ce 0.0000 0.5000 0.5000  0.24

Values from the calculation:
raw total energy = -0.329 Ry per atom

=====

No. 3
Crystalline Ce2Tl3SnSe6 at its relaxed geometry. Source: Alexandria via LeMat-Bulk, functional PBE.

a b c (Å): 7.5078 7.5078 8.0255
angles (deg): 98.94 98.94 119.93
Last column: magnetic moment on the atom in μB.
Fractional positions:
Se 0.0699 0.4149 0.2096  -0.02
Se 0.2764 0.2764 0.7941  -0.02
Ce 0.6670 0.3330 0.0000  0.57
Sn 0.0000 0.0000 0.0000  0.00
Se 0.5851 0.9301 0.7904  -0.02
Se 0.4149 0.0699 0.2096  -0.02
Se 0.9301 0.5851 0.7904  -0.02
Tl 0.5000 0.5000 0.5000  0.00
Ce 0.3330 0.6670 0.0000  0.57
Tl 0.8360 0.1640 0.5000  0.00
Tl 0.1640 0.8360 0.5000  0.00
Se 0.7236 0.7236 0.2059  -0.02

Values from the calculation:
raw total energy = -0.347 Ry per atom

=====

No. 4
Crystalline Sr4CeSe5 at its relaxed geometry. Source: Alexandria via LeMat-Bulk, functional PBE.

a b c (Å): 4.3979 4.3979 15.9359
angles (deg): 97.93 97.93 90.00
Last column: magnetic moment on the atom in μB.
Fractional positions:
Sr 0.8005 0.8005 0.6010  0.00
Se 0.5000 0.5000 0.0000  -0.02
Se 0.9023 0.9023 0.8047  0.00
Ce 0.0000 0.0000 0.0000  1.12
Sr 0.4010 0.4010 0.8019  0.01
Se 0.6996 0.6996 0.3991  0.00
Sr 0.5990 0.5990 0.1981  0.01
Se 0.3004 0.3004 0.6009  0.00
Se 0.0977 0.0977 0.1953  0.00
Sr 0.1995 0.1995 0.3990  0.00

Values from the calculation:
raw total energy = -0.367 Ry per atom

=====

No. 5
Crystalline SrCe3Se6 at its relaxed geometry. Source: Alexandria via LeMat-Bulk, functional PBE.

a b c (Å): 4.3406 11.7318 14.0896
angles (deg): 124.40 90.00 90.00
Last column: magnetic moment on the atom in μB.
Fractional positions:
Se 0.7500 0.8217 0.8986  -0.02
Se 0.2500 0.5695 0.2710  -0.03
Sr 0.2500 0.6059 0.6887  0.00
Se 0.2500 0.3200 0.4393  -0.02
Ce 0.7500 0.1793 0.4848  0.66
Ce 0.7500 0.6587 0.1746  0.74
Se 0.7500 0.3621 0.9771  -0.03
Ce 0.7500 0.0895 0.9274  0.70
Sr 0.7500 0.3941 0.3113  0.00
Se 0.2500 0.6379 0.0229  -0.03
Se 0.2500 0.1783 0.1014  -0.02
Se 0.7500 0.6800 0.5607  -0.02
Se 0.7500 0.8770 0.4139  -0.04
Ce 0.2500 0.9105 0.0726  0.70
Se 0.2500 0.0357 0.7744  -0.03
Ce 0.2500 0.8207 0.5152  0.66
Ce 0.2500 0.3413 0.8254  0.74
Se 0.7500 0.4305 0.7290  -0.03
Se 0.7500 0.9643 0.2256  -0.03
Se 0.2500 0.1230 0.5861  -0.04

Values from the calculation:
raw total energy = -0.430 Ry per atom

=====

No. 6
Crystalline Sr2CeSe4 at its relaxed geometry. Source: Alexandria via LeMat-Bulk, functional PBE.

a b c (Å): 4.4421 7.7353 12.6064
angles (deg): 90.00 90.00 90.00
Fractional positions:
Ce 0.0000 0.5000 0.0000
Se 0.0000 0.8669 0.2919
Se 0.5000 0.7672 0.5477
Se 0.5000 0.7328 0.0477
Sr 0.5000 0.9115 0.8155
Sr 0.5000 0.5885 0.3155
Se 0.0000 0.6331 0.7919
Se 0.0000 0.1331 0.7081
Se 0.5000 0.2672 0.9523
Se 0.5000 0.2328 0.4523
Sr 0.5000 0.4115 0.6845
Ce 0.0000 0.0000 0.5000
Sr 0.5000 0.0885 0.1845
Se 0.0000 0.3669 0.2081

Values from the calculation:
raw total energy = -0.381 Ry per atom

=====

No. 7
Crystalline SrCe2Se3 at its relaxed geometry. Source: Alexandria via LeMat-Bulk, functional PBE.

a b c (Å): 4.2545 6.0612 7.4562
angles (deg): 113.98 106.58 90.00
Last column: magnetic moment on the atom in μB.
Fractional positions:
Sr 0.0000 0.5000 0.0000  0.01
Se 0.0000 0.0000 0.0000  -0.02
Se 0.3290 0.3290 0.6581  -0.02
Ce 0.3342 0.8342 0.6684  1.01
Se 0.6710 0.6710 0.3419  -0.02
Ce 0.6658 0.1658 0.3316  1.01

Values from the calculation:
raw total energy = -0.429 Ry per atom

=====

No. 8
Crystalline SrCe4Se5 at its relaxed geometry. Source: Alexandria via LeMat-Bulk, functional PBE.

a b c (Å): 4.2460 4.2460 15.3684
angles (deg): 97.94 97.94 90.00
Last column: magnetic moment on the atom in μB.
Fractional positions:
Se 0.2994 0.2994 0.5987  -0.02
Ce 0.7989 0.7989 0.5978  0.88
Ce 0.3970 0.3970 0.7939  0.97
Sr 0.0000 0.0000 0.0000  0.01
Se 0.8985 0.8985 0.7971  -0.02
Se 0.5000 0.5000 0.0000  -0.01
Ce 0.6030 0.6030 0.2061  0.97
Se 0.7006 0.7006 0.4013  -0.02
Se 0.1015 0.1015 0.2029  -0.02
Ce 0.2011 0.2011 0.4022  0.88

Values from the calculation:
raw total energy = -0.449 Ry per atom

=====

No. 9
Crystalline SrCe5Se8 at its relaxed geometry. Source: Alexandria via LeMat-Bulk, functional PBE.

a b c (Å): 7.7831 7.7831 7.7831
angles (deg): 109.50 109.41 109.50
Last column: magnetic moment on the atom in μB.
Fractional positions:
Ce 0.5000 0.0000 0.5000  1.05
Ce 0.3721 0.1238 0.9973  1.05
Se 0.1226 0.7540 0.5206  -0.03
Ce 0.8735 0.8762 0.2483  1.05
Se 0.2770 0.2464 0.3705  -0.03
Ce 0.0027 0.3748 0.1265  1.05
Se 0.1241 0.7536 0.0306  -0.03
Se 0.6295 0.9065 0.8759  -0.03
Se 0.6314 0.3980 0.8774  -0.03
Se 0.4794 0.6020 0.2334  -0.03
Se 0.7666 0.2460 0.3686  -0.03
Se 0.9694 0.0935 0.7230  -0.03
Sr 0.2500 0.5000 0.7500  0.01
Ce 0.7517 0.6252 0.6279  1.05

Values from the calculation:
raw total energy = -0.448 Ry per atom

=====

No. 10
Crystalline SrTb4CeSe8 at its relaxed geometry. Source: Alexandria via LeMat-Bulk, functional PBE.

a b c (Å): 8.5689 8.5689 8.6559
angles (deg): 60.33 60.33 60.00
Last column: magnetic moment on the atom in μB.
Fractional positions:
Ce 0.0009 0.0009 0.9974  1.08
Tb 0.0016 0.0016 0.5014  0.04
Se 0.7576 0.7576 0.7271  0.00
Se 0.2308 0.7518 0.2656  -0.01
Se 0.2416 0.7890 0.7278  -0.01
Se 0.7890 0.2416 0.7278  -0.01
Se 0.2416 0.2416 0.7278  -0.01
Se 0.7518 0.2308 0.2656  -0.01
Tb 0.4955 0.0016 0.5014  0.04
Sr 0.3740 0.3740 0.8780  0.00
Se 0.2366 0.2366 0.2903  0.00
Tb 0.6256 0.6256 0.1231  0.05
Tb 0.0016 0.4955 0.5014  0.04
Se 0.7518 0.7518 0.2656  -0.01

Values from the calculation:
raw total energy = -0.415 Ry per atom

=====

No. 11
Crystalline Sr2CeTl3Se6 at its relaxed geometry. Source: Alexandria via LeMat-Bulk, functional PBE.

a b c (Å): 7.6753 7.6753 7.8610
angles (deg): 99.42 99.42 119.95
Fractional positions:
Tl 0.5000 0.5000 0.5000
Se 0.3822 0.0733 0.2191
Se 0.0733 0.3822 0.2191
Ce 0.0000 0.0000 0.0000
Sr 0.6656 0.3344 0.0000
Tl 0.1675 0.8325 0.5000
Se 0.9267 0.6178 0.7809
Se 0.2332 0.2332 0.7753
Se 0.6178 0.9267 0.7809
Se 0.7668 0.7668 0.2247
Tl 0.8325 0.1675 0.5000
Sr 0.3344 0.6656 0.0000

Values from the calculation:
raw total energy = -0.318 Ry per atom

=====

No. 12
Crystalline SrCeTl2Se4 at its relaxed geometry. Source: Alexandria via LeMat-Bulk, functional PBE.

a b c (Å): 4.3903 8.0484 7.5823
angles (deg): 71.81 90.00 90.00
Last column: magnetic moment on the atom in μB.
Fractional positions:
Se 0.5000 0.7084 0.2833  -0.01
Sr 0.5000 0.5000 0.0000  0.00
Ce 0.0000 0.5000 0.5000  0.20
Tl 0.0000 0.0000 0.0000  0.00
Se 0.0000 0.7127 0.7369  -0.01
Se 0.5000 0.2916 0.7167  -0.01
Tl 0.5000 0.0000 0.5000  0.00
Se 0.0000 0.2873 0.2631  -0.01

Values from the calculation:
raw total energy = -0.336 Ry per atom

=====

Question: Which of these has the highest raw total energy?
Answer: Sr2CeTl3Se6

=====

Question: Number 1 is which compound?
Answer: Ce4SnTe2Se

=====

Question: Among the records above, which one has the lowest raw total energy?
Answer: SrCe4Se5

=====

Question: Among the records above, which one has the highest raw total energy?
Answer: Sr2CeTl3Se6